# 1
! FeNiH2N | Alexandria | meta-GGA SCAN | single point on PBEsol structure; values from VASP
&SYSTEM
  ibrav = 0, nat = 5, ntyp = 4
/
ATOMIC_SPECIES
Ni 58.69 Ni.upf
Fe 55.84 Fe.upf
H 1.01 H.upf
N 14.01 N.upf
CELL_PARAMETERS angstrom
2.797 0.000 0.000
0.000 2.797 0.000
0.000 0.000 5.037
ATOMIC_POSITIONS crystal
Ni 0.000 0.000 0.000
Fe 0.000 0.000 0.500
H 0.000 0.500 0.000
H 0.500 0.000 0.000
N 0.500 0.500 0.500
! DOS(E_F), states/eV per atom: 0.3274

***

# 2
! FeHNO2 | Alexandria | meta-GGA SCAN | single point on PBEsol structure; values from VASP
&SYSTEM
  ibrav = 0, nat = 5, ntyp = 4
/
ATOMIC_SPECIES
H 1.01 H.upf
Fe 55.84 Fe.upf
O 16.00 O.upf
N 14.01 N.upf
CELL_PARAMETERS angstrom
-1.465 2.008 2.505
2.170 -1.504 2.475
2.476 2.568 -0.611
ATOMIC_POSITIONS crystal
H 0.500 0.500 0.500
Fe 0.000 0.000 0.000
O 0.000 0.000 0.500
O 0.000 0.500 0.000
N 0.500 0.000 0.000
! DOS(E_F), states/eV per atom: 0.5033

***

# 3
A plane-wave DFT calculation with meta-GGA SCAN was carried out for FeH10S2N4O8 at its PBEsol-relaxed geometry. Values from VASP.

```
&SYSTEM
  ibrav = 0, nat = 25, ntyp = 5
/
ATOMIC_SPECIES
Fe 55.84 Fe.upf
H 1.01 H.upf
S 32.06 S.upf
N 14.01 N.upf
O 16.00 O.upf
CELL_PARAMETERS angstrom
-0.940 -0.305 -5.277
-5.341 -0.934 1.868
-0.477 7.124 1.707
ATOMIC_POSITIONS crystal
Fe 0.000 0.000 0.000
H 0.109 0.932 0.375
H 0.891 0.068 0.625
H 0.441 0.789 0.298
H 0.559 0.211 0.702
H 0.282 0.596 0.422
H 0.718 0.404 0.578
H 0.892 0.706 0.262
H 0.108 0.294 0.738
H 0.230 0.546 0.180
H 0.770 0.454 0.820
S 0.633 0.244 0.222
S 0.367 0.756 0.778
N 0.061 0.818 0.255
N 0.939 0.182 0.745
N 0.265 0.674 0.290
N 0.735 0.326 0.710
O 0.812 0.261 0.097
O 0.188 0.739 0.903
O 0.356 0.231 0.104
O 0.644 0.769 0.896
O 0.664 0.036 0.337
O 0.336 0.964 0.663
O 0.702 0.463 0.350
O 0.298 0.537 0.650
```

***

Number 1: size of the total moment 3.73 μB per formula unit, E_tot -48.4 eV per formula unit. Number 2: size of the total moment 2.43 μB per formula unit, E_tot -40.2 eV per formula unit. Number 3: size of the total moment 4.00 μB per formula unit, E_tot -181.5 eV per formula unit.